VASP calculation (PBE) on a relaxed Pr2TeP crystal.

a b c (Å): 4.292 4.292 22.182
angles (deg): 90.00 90.00 120.00
Atoms (fractional coordinates):
Pr (0.000, 0.000, 0.238)
Pr (0.000, 0.000, 0.762)
Pr (0.333, 0.667, 0.429)
Pr (0.333, 0.667, 0.905)
Pr (0.667, 0.333, 0.095)
Pr (0.667, 0.333, 0.571)
Te (0.000, 0.000, 0.000)
Te (0.333, 0.667, 0.667)
Te (0.667, 0.333, 0.333)
P (0.000, 0.000, 0.500)
P (0.333, 0.667, 0.167)
P (0.667, 0.333, 0.833)

Values from the calculation:
Formation energy (no corrections), eV per formula unit: -6.28
Crystal system: trigonal
SG: No. 166
Energy above the lowest structure with this stoichiometry, eV per formula unit: 0.000
Raw total energy, eV per atom: -6.098